P) First-principles (GGA-PBE) data for an optimized crystal structure of ScZn2Cu5, as listed in the Open Quantum Materials Database.

a = 4.248 Å, b = 4.248 Å, c = 5.990 Å
α = 90.00°, β = 90.00°, γ = 90.00°
Space group P4/mmm (No. 123)
One atom of each set of equivalent atoms:
1 Sc 0.000 0.000 0.000 [1 per cell]
2 Zn 0.000 0.000 0.500 [1 per cell]
3 Zn 0.500 0.500 0.000 [1 per cell]
4 Cu 0.000 0.500 0.270 [4 per cell]
5 Cu 0.500 0.500 0.500 [1 per cell]


Q) First-principles (GGA-PBE) data for an optimized crystal structure of ScZn2Cu5, as listed in the Open Quantum Materials Database.

a = 4.232 Å, b = 6.049 Å, c = 8.597 Å
α = 90.00°, β = 90.00°, γ = 90.00°
Space group Amm2 (No. 38)
One atom of each set of equivalent atoms:
1 Sc 0.000 0.000 0.000 [2 per cell]
2 Zn 0.000 0.000 0.449 [2 per cell]
3 Zn 0.500 0.000 0.769 [2 per cell]
4 Cu 0.000 0.218 0.725 [4 per cell]
5 Cu 0.500 0.000 0.244 [2 per cell]
6 Cu 0.500 0.219 0.512 [4 per cell]


Energies, relative to the best one, in kJ/mol of atoms: P) 0.0; Q) 3.3.


P) First-principles (GGA-PBE) data for an optimized crystal structure of ZnCu2SiTe2Se2, as listed in the Open Quantum Materials Database.

a = 12.871 Å, b = 5.807 Å, c = 5.792 Å
α = 90.00°, β = 115.96°, γ = 90.00°
Space group C2 (No. 5)
One atom of each set of equivalent atoms:
1 Zn 0.000 0.000 0.000 [2 per cell]
2 Cu 0.250 0.016 0.722 [4 per cell]
3 Si 0.000 0.539 0.500 [2 per cell]
4 Te 0.132 0.280 0.871 [4 per cell]
5 Se 0.124 0.759 0.385 [4 per cell]


Q) First-principles (GGA-PBE) data for an optimized crystal structure of ZnCu2SiTe2Se2, as listed in the Open Quantum Materials Database.

a = 8.163 Å, b = 8.283 Å, c = 11.542 Å
α = 90.00°, β = 90.00°, γ = 90.00°
Space group Fmm2 (No. 42)
One atom of each set of equivalent atoms:
1 Zn 0.000 0.000 0.000 [4 per cell]
2 Cu 0.250 0.250 0.270 [8 per cell]
3 Si 0.000 0.000 0.500 [4 per cell]
4 Te 0.000 0.242 0.636 [8 per cell]
5 Se 0.236 0.000 0.380 [8 per cell]


Energies, relative to the best one, in kJ/mol of atoms: P) 0.0; Q) 0.9.


P) First-principles (GGA-PBE) data for an optimized crystal structure of ZrCu2TeSe2, as listed in the Open Quantum Materials Database.

a = 19.853 Å, b = 3.980 Å, c = 7.179 Å
α = 90.00°, β = 99.04°, γ = 90.00°
Space group C2/m (No. 12)
One atom of each set of equivalent atoms:
1 Zr 0.139 0.000 0.045 [4 per cell]
2 Cu 0.046 0.500 0.160 [4 per cell]
3 Cu 0.210 0.000 0.426 [4 per cell]
4 Te 0.249 0.500 0.215 [4 per cell]
5 Se 0.079 0.500 0.837 [4 per cell]
6 Se 0.085 0.000 0.347 [4 per cell]


Q) First-principles (GGA-PBE) data for an optimized crystal structure of ZrCu2TeSe2, as listed in the Open Quantum Materials Database.

a = 19.519 Å, b = 3.938 Å, c = 6.982 Å
α = 90.00°, β = 96.40°, γ = 90.00°
Space group C2/m (No. 12)
One atom of each set of equivalent atoms:
1 Zr 0.149 0.000 0.047 [4 per cell]
2 Cu 0.045 0.500 0.155 [4 per cell]
3 Cu 0.213 0.000 0.434 [4 per cell]
4 Te 0.080 0.000 0.381 [4 per cell]
5 Se 0.085 0.500 0.838 [4 per cell]
6 Se 0.247 0.500 0.217 [4 per cell]


Energies, relative to the best one, in kJ/mol of atoms: P) 0.0; Q) 2.3.


P) First-principles (GGA-PBE) data for an optimized crystal structure of ZrCu2Te2Se, as listed in the Open Quantum Materials Database.

a = 20.023 Å, b = 4.044 Å, c = 7.224 Å
α = 90.00°, β = 98.01°, γ = 90.00°
Space group C2/m (No. 12)
One atom of each set of equivalent atoms:
1 Zr 0.141 0.000 0.049 [4 per cell]
2 Cu 0.045 0.500 0.158 [4 per cell]
3 Cu 0.213 0.000 0.425 [4 per cell]
4 Te 0.081 0.000 0.375 [4 per cell]
5 Te 0.248 0.500 0.214 [4 per cell]
6 Se 0.082 0.500 0.847 [4 per cell]


Q) First-principles (GGA-PBE) data for an optimized crystal structure of ZrCu2Te2Se, as listed in the Open Quantum Materials Database.

a = 20.422 Å, b = 4.007 Å, c = 7.239 Å
α = 90.00°, β = 99.62°, γ = 90.00°
Space group C2/m (No. 12)
One atom of each set of equivalent atoms:
1 Zr 0.144 0.000 0.046 [4 per cell]
2 Cu 0.050 0.500 0.151 [4 per cell]
3 Cu 0.212 0.000 0.426 [4 per cell]
4 Te 0.076 0.500 0.804 [4 per cell]
5 Te 0.250 0.000 0.784 [4 per cell]
6 Se 0.089 0.000 0.340 [4 per cell]


Energies, relative to the best one, in kJ/mol of atoms: P) 0.0; Q) 1.8.


P) First-principles (GGA-PBE) data for an optimized crystal structure of Tb2YCu4Si2Sn2, as listed in the Open Quantum Materials Database.

a = 4.243 Å, b = 6.854 Å, c = 14.269 Å
α = 90.00°, β = 90.00°, γ = 90.00°
Space group Immm (No. 71)
One atom of each set of equivalent atoms:
1 Tb 0.000 0.000 0.136 [4 per cell]
2 Y 0.000 0.500 0.000 [2 per cell]
3 Cu 0.000 0.188 0.320 [8 per cell]
4 Si 0.000 0.500 0.216 [4 per cell]
5 Sn 0.000 0.297 0.500 [4 per cell]


Q) First-principles (GGA-PBE) data for an optimized crystal structure of Tb2YCu4Si2Sn2, as listed in the Open Quantum Materials Database.

a = 4.340 Å, b = 6.630 Å, c = 14.386 Å
α = 90.00°, β = 90.00°, γ = 90.00°
Space group Immm (No. 71)
One atom of each set of equivalent atoms:
1 Tb 0.000 0.000 0.125 [4 per cell]
2 Y 0.000 0.500 0.000 [2 per cell]
3 Cu 0.000 0.190 0.347 [8 per cell]
4 Si 0.000 0.318 0.500 [4 per cell]
5 Sn 0.000 0.500 0.218 [4 per cell]


Energies, relative to the best one, in kJ/mol of atoms: P) 7.2; Q) 0.0.


P) First-principles (GGA-PBE) data for an optimized crystal structure of TbY2Cu4Si2Sn2, as listed in the Open Quantum Materials Database.

a = 4.332 Å, b = 6.644 Å, c = 14.397 Å
α = 90.00°, β = 90.00°, γ = 90.00°
Space group Immm (No. 71)
One atom of each set of equivalent atoms:
1 Tb 0.000 0.000 0.000 [2 per cell]
2 Y 0.000 0.500 0.124 [4 per cell]
3 Cu 0.000 0.310 0.347 [8 per cell]
4 Si 0.000 0.182 0.500 [4 per cell]
5 Sn 0.000 0.000 0.218 [4 per cell]


Q) First-principles (GGA-PBE) data for an optimized crystal structure of TbY2Cu4Si2Sn2, as listed in the Open Quantum Materials Database.

a = 4.230 Å, b = 6.872 Å, c = 14.213 Å
α = 90.00°, β = 90.00°, γ = 90.00°
Space group Immm (No. 71)
One atom of each set of equivalent atoms:
1 Tb 0.000 0.000 0.000 [2 per cell]
2 Y 0.000 0.500 0.135 [4 per cell]
3 Cu 0.000 0.311 0.319 [8 per cell]
4 Si 0.000 0.000 0.216 [4 per cell]
5 Sn 0.000 0.203 0.500 [4 per cell]


Energies, relative to the best one, in kJ/mol of atoms: P) 0.0; Q) 7.3.